# FeRe3Br

An optimized crystal structure of FeRe3Br (PBE, Alexandria).

Values from the calculation:
Space-group type: No. 221
E_form (uncorrected), kJ per mole of atoms: 198.5

Cell and atoms, written as CIF:
```
data_FeRe3Br
_chemical_formula_sum 'Fe1 Re3 Br1'
_cell_length_a 4.506
_cell_length_b 4.506
_cell_length_c 4.506
_cell_angle_alpha 90.00
_cell_angle_beta 90.00
_cell_angle_gamma 90.00
_symmetry_space_group_name_H-M 'P 1'
_symmetry_Int_Tables_number 1
loop_
_symmetry_equiv_pos_as_xyz
'x,y,z'
loop_
_atom_site_label
_atom_site_fract_x
_atom_site_fract_y
_atom_site_fract_z
Fe1 0.000 0.000 0.000
Re1 0.000 0.000 0.500
Re2 0.000 0.500 0.000
Re3 0.500 0.000 0.000
Br1 0.500 0.500 0.500
```

# FeReBr

An optimized crystal structure of FeReBr (PBE, Alexandria).

Values from the calculation:
Space-group type: No. 42
E_form (uncorrected), kJ per mole of atoms: 85.6

Cell and atoms, written as CIF:
```
data_FeReBr
_chemical_formula_sum 'Fe1 Re1 Br1'
_cell_length_a 7.126
_cell_length_b 6.834
_cell_length_c 2.923
_cell_angle_alpha 83.57
_cell_angle_beta 72.37
_cell_angle_gamma 24.06
_symmetry_space_group_name_H-M 'P 1'
_symmetry_Int_Tables_number 1
loop_
_symmetry_equiv_pos_as_xyz
'x,y,z'
loop_
_atom_site_label
_atom_site_fract_x
_atom_site_fract_y
_atom_site_fract_z
Fe1 0.000 0.000 0.000
Re1 0.360 0.360 0.640
Br1 0.665 0.665 0.335
```

# FeRe2Br

An optimized crystal structure of FeRe2Br (PBE, Alexandria).

Values from the calculation:
Space-group type: No. 123
E_form (uncorrected), kJ per mole of atoms: 78.3

Cell and atoms, written as CIF:
```
data_FeRe2Br
_chemical_formula_sum 'Fe1 Re2 Br1'
_cell_length_a 3.057
_cell_length_b 3.057
_cell_length_c 6.665
_cell_angle_alpha 90.00
_cell_angle_beta 90.00
_cell_angle_gamma 90.00
_symmetry_space_group_name_H-M 'P 1'
_symmetry_Int_Tables_number 1
loop_
_symmetry_equiv_pos_as_xyz
'x,y,z'
loop_
_atom_site_label
_atom_site_fract_x
_atom_site_fract_y
_atom_site_fract_z
Fe1 0.000 0.000 0.000
Re1 0.500 0.500 0.199
Re2 0.500 0.500 0.801
Br1 0.000 0.000 0.500
```

# FeRe2Br

An optimized crystal structure of FeRe2Br (PBE, Alexandria).

Values from the calculation:
Space-group type: No. 225
E_form (uncorrected), kJ per mole of atoms: 112.5

Cell and atoms, written as CIF:
```
data_FeRe2Br
_chemical_formula_sum 'Fe1 Re2 Br1'
_cell_length_a 4.333
_cell_length_b 4.333
_cell_length_c 4.333
_cell_angle_alpha 60.00
_cell_angle_beta 60.00
_cell_angle_gamma 60.00
_symmetry_space_group_name_H-M 'P 1'
_symmetry_Int_Tables_number 1
loop_
_symmetry_equiv_pos_as_xyz
'x,y,z'
loop_
_atom_site_label
_atom_site_fract_x
_atom_site_fract_y
_atom_site_fract_z
Fe1 0.000 0.000 0.000
Re1 0.250 0.250 0.250
Re2 0.750 0.750 0.750
Br1 0.500 0.500 0.500
```

# FeRe2Br

An optimized crystal structure of FeRe2Br (PBE, Alexandria).

Values from the calculation:
Space-group type: No. 65
E_form (uncorrected), kJ per mole of atoms: 125.7

Cell and atoms, written as CIF:
```
data_FeRe2Br
_chemical_formula_sum 'Fe1 Re2 Br1'
_cell_length_a 4.821
_cell_length_b 4.821
_cell_length_c 2.896
_cell_angle_alpha 90.00
_cell_angle_beta 90.00
_cell_angle_gamma 114.51
_symmetry_space_group_name_H-M 'P 1'
_symmetry_Int_Tables_number 1
loop_
_symmetry_equiv_pos_as_xyz
'x,y,z'
loop_
_atom_site_label
_atom_site_fract_x
_atom_site_fract_y
_atom_site_fract_z
Fe1 0.000 0.000 0.000
Re1 0.000 0.500 0.500
Re2 0.500 0.000 0.500
Br1 0.500 0.500 0.000
```

# FeRe2Br

An optimized crystal structure of FeRe2Br (PBE, Alexandria).

Values from the calculation:
Space-group type: No. 6
E_form (uncorrected), kJ per mole of atoms: 50.8

Cell and atoms, written as CIF:
```
data_FeRe2Br
_chemical_formula_sum 'Fe1 Re2 Br1'
_cell_length_a 3.089
_cell_length_b 3.045
_cell_length_c 7.430
_cell_angle_alpha 90.00
_cell_angle_beta 90.41
_cell_angle_gamma 90.00
_symmetry_space_group_name_H-M 'P 1'
_symmetry_Int_Tables_number 1
loop_
_symmetry_equiv_pos_as_xyz
'x,y,z'
loop_
_atom_site_label
_atom_site_fract_x
_atom_site_fract_y
_atom_site_fract_z
Fe1 0.000 0.000 0.000
Re1 0.494 0.500 0.783
Re2 0.991 0.000 0.594
Br1 0.978 0.500 0.289
```

# FeReBr6

An optimized crystal structure of FeReBr6 (PBE, Alexandria).

Values from the calculation:
Space-group type: No. 12
E_form (uncorrected), kJ per mole of atoms: -16.2

Cell and atoms, written as CIF:
```
data_FeReBr6
_chemical_formula_sum 'Fe2 Re2 Br12'
_cell_length_a 8.399
_cell_length_b 8.399
_cell_length_c 9.830
_cell_angle_alpha 125.19
_cell_angle_beta 125.19
_cell_angle_gamma 69.53
_symmetry_space_group_name_H-M 'P 1'
_symmetry_Int_Tables_number 1
loop_
_symmetry_equiv_pos_as_xyz
'x,y,z'
loop_
_atom_site_label
_atom_site_fract_x
_atom_site_fract_y
_atom_site_fract_z
Fe1 0.000 0.500 0.000
Fe2 0.500 0.000 0.000
Re1 0.000 0.500 0.500
Re2 0.500 0.000 0.500
Br1 0.125 0.510 0.808
Br2 0.177 0.808 0.683
Br3 0.192 0.823 0.317
Br4 0.300 0.300 0.106
Br5 0.312 0.312 0.483
Br6 0.490 0.875 0.192
Br7 0.510 0.125 0.808
Br8 0.688 0.688 0.517
Br9 0.700 0.700 0.894
Br10 0.808 0.177 0.683
Br11 0.823 0.192 0.317
Br12 0.875 0.490 0.192
```

# FeRe2Br

An optimized crystal structure of FeRe2Br (PBE, Alexandria).

Values from the calculation:
Space-group type: No. 8
E_form (uncorrected), kJ per mole of atoms: 92.7

Cell and atoms, written as CIF:
```
data_FeRe2Br
_chemical_formula_sum 'Fe1 Re2 Br1'
_cell_length_a 4.823
_cell_length_b 4.823
_cell_length_c 4.618
_cell_angle_alpha 92.47
_cell_angle_beta 92.47
_cell_angle_gamma 35.26
_symmetry_space_group_name_H-M 'P 1'
_symmetry_Int_Tables_number 1
loop_
_symmetry_equiv_pos_as_xyz
'x,y,z'
loop_
_atom_site_label
_atom_site_fract_x
_atom_site_fract_y
_atom_site_fract_z
Fe1 0.000 0.000 0.000
Re1 0.272 0.272 0.792
Re2 0.549 0.549 0.573
Br1 0.777 0.777 0.245
```

# FeRe2Br

An optimized crystal structure of FeRe2Br (PBE, Alexandria).

Values from the calculation:
Space-group type: No. 123
E_form (uncorrected), kJ per mole of atoms: 139.1

Cell and atoms, written as CIF:
```
data_FeRe2Br
_chemical_formula_sum 'Fe1 Re2 Br1'
_cell_length_a 3.742
_cell_length_b 3.742
_cell_length_c 4.520
_cell_angle_alpha 90.00
_cell_angle_beta 90.00
_cell_angle_gamma 90.00
_symmetry_space_group_name_H-M 'P 1'
_symmetry_Int_Tables_number 1
loop_
_symmetry_equiv_pos_as_xyz
'x,y,z'
loop_
_atom_site_label
_atom_site_fract_x
_atom_site_fract_y
_atom_site_fract_z
Fe1 0.000 0.000 0.000
Re1 0.000 0.500 0.500
Re2 0.500 0.000 0.500
Br1 0.500 0.500 0.000
```

# FeRe2Br

An optimized crystal structure of FeRe2Br (PBE, Alexandria).

Values from the calculation:
Space-group type: No. 122
E_form (uncorrected), kJ per mole of atoms: 145.8

Cell and atoms, written as CIF:
```
data_FeRe2Br
_chemical_formula_sum 'Fe2 Re4 Br2'
_cell_length_a 6.640
_cell_length_b 6.640
_cell_length_c 6.640
_cell_angle_alpha 131.38
_cell_angle_beta 131.38
_cell_angle_gamma 71.21
_symmetry_space_group_name_H-M 'P 1'
_symmetry_Int_Tables_number 1
loop_
_symmetry_equiv_pos_as_xyz
'x,y,z'
loop_
_atom_site_label
_atom_site_fract_x
_atom_site_fract_y
_atom_site_fract_z
Fe1 0.000 0.000 0.000
Fe2 0.750 0.250 0.500
Re1 0.083 0.625 0.958
Re2 0.375 0.333 0.458
Re3 0.667 0.125 0.042
Re4 0.875 0.917 0.542
Br1 0.250 0.750 0.500
Br2 0.500 0.500 0.000
```

# FeRe2Br

An optimized crystal structure of FeRe2Br (PBE, Alexandria).

Values from the calculation:
Space-group type: No. 123
E_form (uncorrected), kJ per mole of atoms: 112.2

Cell and atoms, written as CIF:
```
data_FeRe2Br
_chemical_formula_sum 'Fe1 Re2 Br1'
_cell_length_a 4.433
_cell_length_b 4.433
_cell_length_c 2.955
_cell_angle_alpha 90.00
_cell_angle_beta 90.00
_cell_angle_gamma 90.00
_symmetry_space_group_name_H-M 'P 1'
_symmetry_Int_Tables_number 1
loop_
_symmetry_equiv_pos_as_xyz
'x,y,z'
loop_
_atom_site_label
_atom_site_fract_x
_atom_site_fract_y
_atom_site_fract_z
Fe1 0.000 0.000 0.000
Re1 0.000 0.500 0.500
Re2 0.500 0.000 0.500
Br1 0.500 0.500 0.000
```

# FeRe2Br

An optimized crystal structure of FeRe2Br (PBE, Alexandria).

Values from the calculation:
Space-group type: No. 12
E_form (uncorrected), kJ per mole of atoms: 81.6

Cell and atoms, written as CIF:
```
data_FeRe2Br
_chemical_formula_sum 'Fe1 Re2 Br1'
_cell_length_a 5.675
_cell_length_b 5.675
_cell_length_c 4.092
_cell_angle_alpha 98.88
_cell_angle_beta 98.88
_cell_angle_gamma 28.94
_symmetry_space_group_name_H-M 'P 1'
_symmetry_Int_Tables_number 1
loop_
_symmetry_equiv_pos_as_xyz
'x,y,z'
loop_
_atom_site_label
_atom_site_fract_x
_atom_site_fract_y
_atom_site_fract_z
Fe1 0.000 0.000 0.000
Re1 0.297 0.297 0.786
Re2 0.703 0.703 0.214
Br1 0.500 0.500 0.500
```